(1)
DFT (SCAN) results for a PBEsol-optimized structure of Li4V3Cr3O12.

## Properties
For the formation energy (no corrections), the calculation gives -2.5202 eV per atom. For the magnetization, the calculation gives 13.00 μB per cell. The energy comes out at -11.2453 eV/atom.

CIF file:
```
data_Li4V3Cr3O12
_space_group_name_H-M_alt 'P 1'
_space_group_IT_number 1
_cell_length_a 5.020
_cell_length_b 5.863
_cell_length_c 7.644
_cell_angle_alpha 78.17
_cell_angle_beta 77.58
_cell_angle_gamma 73.07
loop_
_space_group_symop_operation_xyz
'x,y,z'
loop_
_atom_site_label
_atom_site_type_symbol
_atom_site_fract_x
_atom_site_fract_y
_atom_site_fract_z
_atom_site_occupancy
Cr1 Cr 0.509 0.332 0.168 1
Li1 Li 0.501 0.166 0.833 1
O1 O 0.252 0.189 0.093 1
V1 V 0.006 0.829 0.674 1
Cr2 Cr 0.500 0.000 0.500 1
O2 O 0.739 0.016 0.264 1
Li2 Li 0.006 0.667 0.336 1
Li3 Li 0.499 0.834 0.167 1
Li4 Li 0.994 0.333 0.664 1
O3 O 0.763 0.489 0.238 1
O4 O 0.749 0.692 0.597 1
O5 O 0.237 0.511 0.762 1
O6 O 0.748 0.811 0.907 1
O7 O 0.736 0.364 0.924 1
O8 O 0.769 0.136 0.576 1
V2 V 0.000 0.500 0.000 1
Cr3 Cr 0.491 0.668 0.832 1
O9 O 0.231 0.864 0.424 1
O10 O 0.261 0.984 0.736 1
O11 O 0.264 0.636 0.076 1
V3 V 0.994 0.171 0.326 1
O12 O 0.251 0.308 0.403 1
```

***

(2)
DFT (SCAN) results for a PBEsol-optimized structure of Li4V3Cr2O10.

## Properties
For the formation energy (no corrections), the calculation gives -2.4658 eV per atom. For the magnetization, the calculation gives 4.98 μB per cell. The energy comes out at -10.9451 eV/atom.

CIF file:
```
data_Li4V3Cr2O10
_space_group_name_H-M_alt 'P 1'
_space_group_IT_number 1
_cell_length_a 4.961
_cell_length_b 4.914
_cell_length_c 7.478
_cell_angle_alpha 71.01
_cell_angle_beta 71.74
_cell_angle_gamma 79.87
loop_
_space_group_symop_operation_xyz
'x,y,z'
loop_
_atom_site_label
_atom_site_type_symbol
_atom_site_fract_x
_atom_site_fract_y
_atom_site_fract_z
_atom_site_occupancy
O1 O 0.770 0.234 0.764 1
O2 O 0.780 0.872 0.545 1
Cr1 Cr 0.001 0.100 0.308 1
O3 O 0.234 0.978 0.857 1
O4 O 0.228 0.123 0.465 1
V1 V 0.002 0.357 0.886 1
O5 O 0.717 0.642 0.949 1
Li1 Li 0.502 0.205 0.591 1
O6 O 0.250 0.334 0.050 1
Li2 Li 0.474 0.385 0.233 1
O7 O 0.236 0.546 0.658 1
V2 V 0.520 0.983 0.994 1
O8 O 0.772 0.050 0.135 1
Li3 Li 0.987 0.500 0.500 1
O9 O 0.769 0.458 0.329 1
O10 O 0.244 0.762 0.231 1
V3 V 0.998 0.692 0.083 1
Cr2 Cr 0.996 0.881 0.714 1
Li4 Li 0.506 0.777 0.437 1
```

***

(3)
DFT (SCAN) results for a PBEsol-optimized structure of Li2VCr3O8.

## Properties
As for the polymorph energy (0 for the lowest one): 19 meV/atom. For the formation energy (no corrections), the calculation gives -2.4997 eV per atom. For the magnetization, the calculation gives 18.00 μB per cell. The energy comes out at -11.5906 eV/atom.

CIF file:
```
data_Li2VCr3O8
_space_group_name_H-M_alt 'P 1'
_space_group_IT_number 1
_cell_length_a 5.754
_cell_length_b 5.754
_cell_length_c 9.198
_cell_angle_alpha 90.00
_cell_angle_beta 90.00
_cell_angle_gamma 120.00
loop_
_space_group_symop_operation_xyz
'x,y,z'
loop_
_atom_site_label
_atom_site_type_symbol
_atom_site_fract_x
_atom_site_fract_y
_atom_site_fract_z
_atom_site_occupancy
Cr1 Cr 0.342 0.171 0.787 1
O1 O 0.522 0.044 0.657 1
O2 O 0.956 0.478 0.657 1
Cr2 Cr 0.829 0.171 0.787 1
O3 O 0.478 0.522 0.157 1
V1 V 0.667 0.333 0.507 1
O4 O 0.044 0.522 0.157 1
Cr3 Cr 0.171 0.829 0.287 1
O5 O 0.830 0.170 0.401 1
O6 O 0.830 0.660 0.401 1
O7 O 0.478 0.956 0.157 1
O8 O 0.170 0.340 0.901 1
O9 O 0.667 0.333 0.898 1
Cr4 Cr 0.658 0.829 0.287 1
Li1 Li 0.667 0.333 0.107 1
Cr5 Cr 0.829 0.658 0.787 1
V2 V 0.333 0.667 0.007 1
Li2 Li 0.333 0.667 0.607 1
O10 O 0.000 0.000 0.693 1
O11 O 0.340 0.170 0.401 1
O12 O 0.170 0.830 0.901 1
Cr6 Cr 0.171 0.342 0.287 1
Li3 Li 0.000 0.000 0.504 1
Li4 Li 0.000 0.000 0.004 1
O13 O 0.000 0.000 0.193 1
O14 O 0.522 0.478 0.657 1
O15 O 0.660 0.830 0.901 1
O16 O 0.333 0.667 0.398 1
```

***

(4)
DFT (SCAN) results for a PBEsol-optimized structure of Li2VCr3O8.

## Properties
As for the polymorph energy (0 for the lowest one): 0 meV/atom. For the formation energy (no corrections), the calculation gives -2.5183 eV per atom. For the magnetization, the calculation gives 9.01 μB per cell. The energy comes out at -11.6091 eV/atom.

CIF file:
```
data_Li2VCr3O8
_space_group_name_H-M_alt 'P 1'
_space_group_IT_number 1
_cell_length_a 5.725
_cell_length_b 5.725
_cell_length_c 5.725
_cell_angle_alpha 61.22
_cell_angle_beta 61.22
_cell_angle_gamma 61.22
loop_
_space_group_symop_operation_xyz
'x,y,z'
loop_
_atom_site_label
_atom_site_type_symbol
_atom_site_fract_x
_atom_site_fract_y
_atom_site_fract_z
_atom_site_occupancy
O1 O 0.715 0.265 0.265 1
V1 V 0.500 0.500 0.500 1
O2 O 0.263 0.263 0.263 1
Cr1 Cr 0.500 0.000 0.500 1
Li1 Li 0.875 0.875 0.875 1
O3 O 0.735 0.285 0.735 1
O4 O 0.735 0.735 0.285 1
Cr2 Cr 0.000 0.500 0.500 1
Cr3 Cr 0.500 0.500 0.000 1
O5 O 0.737 0.737 0.737 1
O6 O 0.265 0.715 0.265 1
Li2 Li 0.125 0.125 0.125 1
O7 O 0.285 0.735 0.735 1
O8 O 0.265 0.265 0.715 1
```